Compound: Cs8SbH2
Source: the Alexandria database
Functional: PBE
Structure: optimized geometry

a = 8.8114 Å, b = 8.8114 Å, c = 8.7459 Å
α = 90.00°, β = 90.00°, γ = 90.00°
Closest atoms and distances in Å follow each position.
Atoms (fractional coordinates):
Cs 0.2551 0.7449 0.2377  2 H 3.75, 1 Sb 3.82, 1 Cs 4.16
Sb 0.5000 0.5000 0.5000  8 Cs 3.82
Cs 0.7449 0.7449 0.2377  2 H 3.75, 1 Sb 3.82, 1 Cs 4.16
H 0.0000 0.5000 0.0000  8 Cs 3.75
Cs 0.2551 0.2551 0.7623  2 H 3.75, 1 Sb 3.82, 1 Cs 4.16
H 0.5000 0.0000 0.0000  8 Cs 3.75
Cs 0.2551 0.7449 0.7623  2 H 3.75, 1 Sb 3.82, 1 Cs 4.16
Cs 0.7449 0.2551 0.2377  2 H 3.75, 1 Sb 3.82, 1 Cs 4.16
Cs 0.7449 0.7449 0.7623  2 H 3.75, 1 Sb 3.82, 1 Cs 4.16
Cs 0.7449 0.2551 0.7623  2 H 3.75, 1 Sb 3.82, 1 Cs 4.16
Cs 0.2551 0.2551 0.2377  2 H 3.75, 1 Sb 3.82, 1 Cs 4.16

DFT total energy   -18.4 eV for the cell shown
Calculated density   2.9 g/cm³
Total magnetic moment   0.4 μB/f.u.

***

Compound: AgPSe2
Source: the Alexandria database
Functional: PBE
Structure: optimized geometry

a = 5.0563 Å, b = 2.9597 Å, c = 6.0968 Å
α = 75.94°, β = 90.00°, γ = 90.00°
Closest atoms and distances in Å follow each position.
Atoms (fractional coordinates):
Se 0.5000 0.3348 0.4562  1 P 2.29
Se 0.0000 0.1125 0.9004  2 P 2.55, 2 Ag 2.79
Ag 0.0000 0.4115 0.3003  4 Se 2.69-2.79, 2 Ag 2.96
P 0.5000 0.1412 0.8431  3 Se 2.29-2.55

DFT total energy   -14.7 eV for the cell shown
Formation energy (no corrections)   2.82 kcal/mol of atoms
Calculated density   5.6 g/cm³
Total magnetic moment   0.0 μB/f.u.